DFT (GGA-PBE) results for a geometry-optimized K3Nd3NpSe8 structure.

abc: 9.254 9.254 9.254
angles: 55.45 55.45 55.45
Fractional positions:
1 K 0.000 0.500 0.500
2 K 0.500 0.000 0.500
3 K 0.500 0.500 0.000
4 Nd 0.000 0.000 0.500
5 Nd 0.000 0.500 0.000
6 Nd 0.500 0.000 0.000
7 Np 0.500 0.500 0.500
8 Se 0.237 0.237 0.237
9 Se 0.247 0.727 0.727
10 Se 0.273 0.273 0.753
11 Se 0.273 0.753 0.273
12 Se 0.727 0.247 0.727
13 Se 0.727 0.727 0.247
14 Se 0.753 0.273 0.273
15 Se 0.763 0.763 0.763

Output
E	-5.51	eV/atom
calculated volume	33.407	Å³ per atom
raw formation energy	-1.61	eV per atom